Record 1
{"formula": "K3LiU2S6", "functional": "PBE-GGA", "state": "relaxed", "sg": "C2/m", "magnetic_moment_mub_per_fu": 4.00, "volume_a3_per_atom": 26.00, "formation_energy_uncorrected_mev_per_atom": -1411, "lattice_angstrom": [[-2.471, 2.465, -6.090], [-4.051, 0.099, 5.732], [4.687, 5.809, 1.789]], "species": ["Li", "S", "S", "S", "S", "S", "S", "K", "K", "K", "U", "U"], "frac_coords": [[0.000, 0.000, 0.000], [0.415, 0.067, 0.200], [0.067, 0.415, 0.200], [0.933, 0.585, 0.800], [0.281, 0.281, 0.803], [0.719, 0.719, 0.197], [0.585, 0.933, 0.800], [0.500, 0.500, 0.500], [0.840, 0.160, 0.500], [0.160, 0.840, 0.500], [0.667, 0.333, 0.000], [0.333, 0.667, 0.000]]}

Record 2
{"formula": "PrGdLuAg", "functional": "PBE-GGA", "state": "relaxed", "sg": "F-43m", "energy_ev_per_atom": -6.52, "magnetic_moment_mub_per_fu": 7.48, "volume_a3_per_atom": 28.38, "lattice_angstrom": [[5.435, 0.000, 0.000], [2.718, 4.707, 0.000], [2.718, 1.569, 4.438]], "species": ["Pr", "Lu", "Ag", "Gd"], "frac_coords": [[0.500, 0.500, 0.500], [0.750, 0.750, 0.750], [0.250, 0.250, 0.250], [0.000, 0.000, 0.000]]}

Record 3
{"formula": "NdSm10Th4", "functional": "PBE-GGA", "state": "relaxed", "sg": "I4/m", "energy_ev_per_atom": -5.09, "magnetic_moment_mub_per_fu": 0.00, "volume_a3_per_atom": 34.69, "lattice_angstrom": [[0.756, 5.763, 9.179], [4.855, -1.746, 7.126], [5.633, 6.488, 1.893]], "species": ["Sm", "Sm", "Sm", "Sm", "Sm", "Sm", "Sm", "Sm", "Sm", "Sm", "Th", "Th", "Th", "Th", "Nd"], "frac_coords": [[0.461, 0.671, 0.094], [0.250, 0.500, 0.500], [0.445, 0.094, 0.329], [0.539, 0.329, 0.906], [0.750, 0.500, 0.500], [0.132, 0.094, 0.329], [0.774, 0.671, 0.094], [0.868, 0.906, 0.671], [0.555, 0.906, 0.671], [0.226, 0.329, 0.906], [0.940, 0.396, 0.724], [0.664, 0.276, 0.396], [0.060, 0.604, 0.276], [0.336, 0.724, 0.604], [0.000, 0.000, 0.000]]}

Record 4
{"formula": "LiP2Au", "functional": "PBE-GGA", "state": "relaxed", "sg": "P2_1/c", "magnetic_moment_mub_per_fu": 0.00, "polymorph_energy_mev_per_atom": 86, "volume_a3_per_atom": 20.41, "lattice_angstrom": [[-2.980, -5.213, -2.753], [1.794, -3.261, 4.234], [-7.305, 1.820, 4.498]], "species": ["P", "P", "P", "P", "P", "P", "P", "P", "Li", "Li", "Li", "Li", "Au", "Au", "Au", "Au"], "frac_coords": [[0.858, 0.397, 0.499], [0.606, 0.844, 0.000], [0.394, 0.344, 0.500], [0.858, 0.103, 0.999], [0.142, 0.897, 0.001], [0.142, 0.603, 0.501], [0.394, 0.156, 0.000], [0.606, 0.656, 0.500], [0.501, 0.999, 0.281], [0.499, 0.001, 0.719], [0.499, 0.499, 0.219], [0.501, 0.501, 0.781], [0.868, 0.251, 0.249], [0.868, 0.249, 0.749], [0.132, 0.749, 0.751], [0.132, 0.751, 0.251]]}

Record 5
{"formula": "MnFe2W", "functional": "PBE-GGA", "state": "relaxed", "sg": "Pmmm", "magnetic_moment_mub_per_fu": 4.91, "polymorph_energy_mev_per_atom": 28, "volume_a3_per_atom": 12.52, "lattice_angstrom": [[-1.999, 2.245, 0.511], [-2.997, -2.400, -1.176], [-0.472, -1.297, 3.851]], "species": ["W", "Fe", "Fe", "Mn"], "frac_coords": [[0.000, 0.500, 0.500], [0.000, 0.000, 0.000], [0.500, 0.500, 0.000], [0.500, 0.000, 0.500]]}

Record 6
{"formula": "Zn2CdSnH", "functional": "PBE-GGA", "state": "relaxed", "sg": "P4/mmm", "energy_ev_per_atom": -1.87, "magnetic_moment_mub_per_fu": 0.00, "volume_a3_per_atom": 17.74, "lattice_angstrom": [[4.696, 0.000, 0.000], [0.000, 4.022, 0.000], [0.000, 0.000, 4.696]], "species": ["Zn", "Zn", "Cd", "H", "Sn"], "frac_coords": [[0.500, 0.000, 0.000], [0.000, 0.000, 0.500], [0.000, 0.500, 0.000], [0.000, 0.000, 0.000], [0.500, 0.500, 0.500]]}

Record 7
{"formula": "Cr2MoSe", "functional": "PBE-GGA", "state": "relaxed", "sg": "F-43m", "magnetic_moment_mub_per_fu": 0.09, "volume_a3_per_atom": 14.11, "formation_energy_uncorrected_mev_per_atom": 376, "lattice_angstrom": [[-1.480, 1.506, 3.753], [-3.259, -1.995, 1.986], [0.714, -2.197, 3.634]], "species": ["Cr", "Cr", "Mo", "Se"], "frac_coords": [[0.000, 0.000, 0.000], [0.250, 0.250, 0.250], [0.500, 0.500, 0.500], [0.750, 0.750, 0.750]]}

Record 8
{"formula": "TaCdC3", "functional": "PBE-GGA", "state": "relaxed", "sg": "Pm-3m", "magnetic_moment_mub_per_fu": 0.00, "polymorph_energy_mev_per_atom": 1453, "volume_a3_per_atom": 13.60, "lattice_angstrom": [[-2.146, -1.116, -3.287], [0.791, -3.920, 0.814], [-3.380, -0.209, 2.278]], "species": ["C", "C", "C", "Ta", "Cd"], "frac_coords": [[0.000, 0.500, 0.000], [0.000, 0.000, 0.500], [0.500, 0.000, 0.000], [0.500, 0.500, 0.500], [0.000, 0.000, 0.000]]}

Record 9
{"formula": "UNbReTc", "functional": "PBE-GGA", "state": "relaxed", "sg": "F-43m", "energy_ev_per_atom": -11.03, "magnetic_moment_mub_per_fu": 1.47, "volume_a3_per_atom": 17.81, "lattice_angstrom": [[4.653, 0.000, 0.000], [2.327, 4.030, 0.000], [2.327, 1.343, 3.799]], "species": ["Re", "U", "Nb", "Tc"], "frac_coords": [[0.500, 0.500, 0.500], [0.750, 0.750, 0.750], [0.250, 0.250, 0.250], [0.000, 0.000, 0.000]]}

Record 10
{"formula": "CoNi2Os", "functional": "PBE-GGA", "state": "relaxed", "sg": "R-3m", "magnetic_moment_mub_per_fu": 2.87, "polymorph_energy_mev_per_atom": 51, "volume_a3_per_atom": 12.11, "lattice_angstrom": [[8.396, 0.006, 0.004], [7.991, 2.577, 0.004], [7.991, 1.259, 2.248]], "species": ["Os", "Ni", "Ni", "Co"], "frac_coords": [[0.250, 0.250, 0.250], [0.497, 0.497, 0.497], [0.003, 0.003, 0.003], [0.750, 0.750, 0.750]]}

Record 11
{"formula": "P2BrCl", "functional": "PBE-GGA", "state": "relaxed", "sg": "P4/mmm", "magnetic_moment_mub_per_fu": 0.00, "polymorph_energy_mev_per_atom": 1272, "volume_a3_per_atom": 19.01, "formation_energy_uncorrected_mev_per_atom": 1031, "lattice_angstrom": [[-2.920, 0.288, -2.690], [0.483, -4.232, -0.978], [-2.930, -1.044, 3.069]], "species": ["P", "P", "Br", "Cl"], "frac_coords": [[0.000, 0.000, 0.000], [0.000, 0.500, 0.500], [0.500, 0.500, 0.000], [0.500, 0.000, 0.500]]}

Record 12
{"formula": "Tb2SmEr4Sc", "functional": "PBE-GGA", "state": "relaxed", "sg": "P4/mmm", "energy_ev_per_atom": -4.79, "magnetic_moment_mub_per_fu": 0.00, "volume_a3_per_atom": 30.44, "lattice_angstrom": [[4.953, 0.000, 0.000], [0.000, 4.797, 1.237], [0.000, 2.319, 10.847]], "species": ["Tb", "Tb", "Er", "Er", "Er", "Er", "Sm", "Sc"], "frac_coords": [[0.500, 0.000, 0.500], [0.000, 0.000, 0.000], [0.500, 0.256, 0.744], [0.000, 0.244, 0.256], [0.500, 0.744, 0.256], [0.000, 0.756, 0.744], [0.500, 0.500, 0.000], [0.000, 0.500, 0.500]]}

Record 13
{"formula": "Dy3AlCd", "functional": "PBE-GGA", "state": "relaxed", "sg": "Pmmn", "magnetic_moment_mub_per_fu": 0.00, "polymorph_energy_mev_per_atom": 164, "volume_a3_per_atom": 28.88, "lattice_angstrom": [[-4.106, 1.055, 2.097], [-2.917, -5.278, -3.056], [2.215, -5.272, 6.990]], "species": ["Dy", "Dy", "Dy", "Dy", "Dy", "Dy", "Al", "Al", "Cd", "Cd"], "frac_coords": [[0.250, 0.250, 0.934], [0.750, 0.508, 0.721], [0.250, 0.008, 0.279], [0.750, 0.750, 0.066], [0.750, 0.992, 0.721], [0.250, 0.492, 0.279], [0.750, 0.250, 0.132], [0.250, 0.750, 0.868], [0.250, 0.250, 0.580], [0.750, 0.750, 0.420]]}

Record 14
{"formula": "Pm3Pb2Au", "functional": "PBE-GGA", "state": "relaxed", "sg": "Pnma", "magnetic_moment_mub_per_fu": 0.00, "polymorph_energy_mev_per_atom": 3, "volume_a3_per_atom": 29.94, "lattice_angstrom": [[-0.644, 4.619, 0.505], [-7.859, -2.069, 8.902], [9.479, 0.396, 8.459]], "species": ["Pm", "Pm", "Pm", "Pm", "Pm", "Pm", "Pm", "Pm", "Pm", "Pm", "Pm", "Pm", "Au", "Au", "Au", "Au", "Pb", "Pb", "Pb", "Pb", "Pb", "Pb", "Pb", "Pb"], "frac_coords": [[0.250, 0.058, 0.870], [0.750, 0.630, 0.951], [0.250, 0.695, 0.226], [0.250, 0.805, 0.726], [0.750, 0.870, 0.451], [0.750, 0.942, 0.130], [0.750, 0.305, 0.774], [0.250, 0.130, 0.549], [0.750, 0.195, 0.274], [0.250, 0.442, 0.370], [0.250, 0.370, 0.049], [0.750, 0.558, 0.630], [0.250, 0.132, 0.131], [0.750, 0.632, 0.369], [0.250, 0.368, 0.631], [0.750, 0.868, 0.869], [0.250, 0.812, 0.002], [0.750, 0.188, 0.998], [0.750, 0.312, 0.498], [0.250, 0.515, 0.819], [0.750, 0.015, 0.681], [0.250, 0.688, 0.502], [0.250, 0.985, 0.319], [0.750, 0.485, 0.181]]}

Record 15
{"formula": "Pr3Ni8Au", "functional": "PBE-GGA", "state": "relaxed", "sg": "R3m", "energy_ev_per_atom": -5.62, "magnetic_moment_mub_per_fu": 0.00, "volume_a3_per_atom": 15.81, "lattice_angstrom": [[5.102, 0.000, 0.000], [2.551, 4.418, 0.000], [2.551, 1.473, 8.414]], "species": ["Ni", "Ni", "Ni", "Ni", "Ni", "Ni", "Ni", "Ni", "Pr", "Pr", "Pr", "Au"], "frac_coords": [[0.436, 0.941, 0.188], [0.188, 0.188, 0.436], [0.436, 0.436, 0.188], [0.941, 0.436, 0.188], [0.937, 0.442, 0.683], [0.937, 0.937, 0.683], [0.442, 0.937, 0.683], [0.688, 0.688, 0.937], [0.991, 0.991, 0.027], [0.507, 0.507, 0.480], [0.378, 0.378, 0.867], [0.871, 0.871, 0.388]]}

Record 16
{"formula": "CaCuHg6", "functional": "PBE-GGA", "state": "relaxed", "sg": "R-3m", "energy_ev_per_atom": -0.84, "magnetic_moment_mub_per_fu": 0.00, "volume_a3_per_atom": 32.62, "lattice_angstrom": [[8.487, -3.007, -0.647], [8.487, 3.007, -0.647], [7.816, 0.000, 4.517]], "species": ["Hg", "Hg", "Hg", "Hg", "Hg", "Hg", "Ca", "Cu"], "frac_coords": [[0.936, 0.442, 0.936], [0.558, 0.064, 0.064], [0.064, 0.558, 0.064], [0.442, 0.936, 0.936], [0.936, 0.936, 0.442], [0.064, 0.064, 0.558], [0.000, 0.000, 0.000], [0.500, 0.500, 0.500]]}

Record 17
{"formula": "HfGa2Ag", "functional": "PBE-GGA", "state": "relaxed", "sg": "P4/mmm", "magnetic_moment_mub_per_fu": 0.00, "polymorph_energy_mev_per_atom": 106, "volume_a3_per_atom": 17.82, "lattice_angstrom": [[-1.754, 2.574, -0.038], [-1.222, -0.873, -2.729], [-5.343, -3.589, 3.540]], "species": ["Hf", "Ag", "Ga", "Ga"], "frac_coords": [[0.500, 0.500, 0.500], [0.500, 0.500, 0.000], [0.000, 0.000, 0.242], [0.000, 0.000, 0.758]]}

Record 18
{"formula": "AcTb2Mn", "functional": "PBE-GGA", "state": "relaxed", "sg": "P4/mmm", "magnetic_moment_mub_per_fu": 3.04, "polymorph_energy_mev_per_atom": 0, "volume_a3_per_atom": 30.23, "lattice_angstrom": [[3.629, 0.000, 0.000], [0.000, 3.629, 0.000], [0.000, 0.000, 9.180]], "species": ["Ac", "Tb", "Tb", "Mn"], "frac_coords": [[0.500, 0.500, 0.500], [0.000, 0.000, 0.184], [0.000, 0.000, 0.816], [0.500, 0.500, 0.000]]}

Record 19
{"formula": "TbEr2Ag", "functional": "PBE-GGA", "state": "relaxed", "sg": "R3m", "magnetic_moment_mub_per_fu": 0.00, "polymorph_energy_mev_per_atom": 125, "volume_a3_per_atom": 28.35, "lattice_angstrom": [[3.571, 0.002, 0.001], [1.787, 3.092, 0.001], [1.789, 1.033, 10.276]], "species": ["Ag", "Er", "Er", "Tb"], "frac_coords": [[0.667, 0.667, 0.000], [0.259, 0.259, 0.222], [0.074, 0.074, 0.778], [0.500, 0.500, 0.500]]}

Record 20
{"formula": "Cs3Y2PuSe6", "functional": "PBE-GGA", "state": "relaxed", "sg": "C2/m", "magnetic_moment_mub_per_fu": 5.00, "volume_a3_per_atom": 33.58, "formation_energy_uncorrected_mev_per_atom": -1622, "lattice_angstrom": [[7.463, -0.001, 0.000], [-3.731, 6.464, 0.000], [-1.244, -2.155, 8.353]], "species": ["Se", "Se", "Se", "Se", "Se", "Se", "Cs", "Cs", "Cs", "Pu", "Y", "Y"], "frac_coords": [[0.275, 0.275, 0.815], [0.725, 0.725, 0.185], [0.601, 0.938, 0.815], [0.062, 0.399, 0.185], [0.938, 0.601, 0.815], [0.399, 0.062, 0.185], [0.500, 0.500, 0.500], [0.167, 0.833, 0.500], [0.833, 0.167, 0.500], [0.000, 0.000, 0.000], [0.667, 0.333, 0.000], [0.333, 0.667, 0.000]]}